The following is a DFT calculation (PBE-GGA) of crystalline NbTlSe2 at its relaxed geometry.

Summary:
calculated density	7.62	Mg/m³
formation energy without anion corrections	-0.465	eV per atom
size of the total moment	0.00	μB/cell
raw total energy	-5.316	eV/atom

Unit cell a=3.395 b=30.236 c=3.868 alpha=90.00 beta=90.00 gamma=90.00
Positions (direct):
Nb 0.000 0.189 0.250
Nb 0.000 0.811 0.750
Nb 0.500 0.311 0.750
Nb 0.500 0.689 0.250
Tl 0.000 0.454 0.250
Tl 0.000 0.546 0.750
Tl 0.500 0.046 0.750
Tl 0.500 0.954 0.250
Se 0.000 0.282 0.250
Se 0.000 0.376 0.750
Se 0.000 0.624 0.250
Se 0.000 0.718 0.750
Se 0.500 0.124 0.250
Se 0.500 0.218 0.750
Se 0.500 0.782 0.250
Se 0.500 0.876 0.750